(1)
Compound: AcSb6
Source: Alexandria via LeMat-Bulk
Functional: GGA-PBE
Structure: optimized geometry

Properties
uncorrected formation energy	0.36	eV per atom

```
AcSb6
1.0
-4.1659 4.1659 4.1659
4.1659 -4.1659 4.1659
4.1659 4.1659 -4.1659
Ac Sb
1 6
direct
0.0000 0.0000 0.0000 Ac
0.2500 0.5000 0.7500 Sb
0.2500 0.7500 0.5000 Sb
0.5000 0.2500 0.7500 Sb
0.5000 0.7500 0.2500 Sb
0.7500 0.2500 0.5000 Sb
0.7500 0.5000 0.2500 Sb
```

(2)
Compound: InRh5
Source: Alexandria via LeMat-Bulk
Functional: GGA-PBE
Structure: optimized geometry

Properties
energy relative to the elements	0.202	eV/atom

```
InRh5
1.0
0.0000 3.6394 3.6394
3.6394 0.0000 3.6394
3.6394 3.6394 0.0000
In Rh
1 5
direct
0.0000 0.0000 0.0000 In
0.1258 0.6247 0.6247 Rh
0.2500 0.2500 0.2500 Rh
0.6247 0.1258 0.6247 Rh
0.6247 0.6247 0.1258 Rh
0.6247 0.6247 0.6247 Rh
```

(3)
Compound: MoIr2Os
Source: Alexandria via LeMat-Bulk
Functional: GGA-PBE
Structure: optimized geometry

Properties
polymorph energy (0 for the lowest one)	30	meV/atom
energy relative to the elements	-0.197	eV/atom

```
MoIr2Os
1.0
3.8710 0.0000 0.0000
0.0000 3.8710 0.0000
0.0000 0.0000 3.9185
Mo Ir Os
1 2 1
direct
0.0000 0.0000 0.0000 Mo
0.0000 0.5000 0.5000 Ir
0.5000 0.0000 0.5000 Ir
0.5000 0.5000 0.0000 Os
```

(4)
Compound: LaTi3Tl
Source: Alexandria via LeMat-Bulk
Functional: GGA-PBE
Structure: optimized geometry

Properties
polymorph energy (0 for the lowest one)	0	meV/atom
energy relative to the elements	0.939	eV/atom

```
LaTi3Tl
1.0
5.2106 0.0000 0.0000
0.0000 5.2106 0.0000
0.0000 0.0000 5.2106
La Ti Tl
1 3 1
direct
0.0000 0.0000 0.0000 La
0.0000 0.5000 0.5000 Ti
0.5000 0.0000 0.5000 Ti
0.5000 0.5000 0.0000 Ti
0.5000 0.5000 0.5000 Tl
```

(5)
Compound: CsTi2AuN
Source: Alexandria via LeMat-Bulk
Functional: GGA-PBE
Structure: optimized geometry

Properties
uncorrected formation energy	2.23	eV per atom

```
CsTi2AuN
1.0
5.1537 0.0000 0.0000
0.0000 5.1537 0.0000
0.0000 0.0000 4.3232
Cs Ti Au N
1 2 1 1
direct
0.0000 0.0000 0.0000 Cs
0.0000 0.5000 0.0000 Ti
0.5000 0.0000 0.0000 Ti
0.5000 0.5000 0.5000 Au
0.0000 0.0000 0.5000 N
```

(6)
Compound: KDyAgTe3
Source: Alexandria via LeMat-Bulk
Functional: GGA-PBE
Structure: optimized geometry

Properties
uncorrected formation energy	-0.90	eV per atom

```
KDyAgTe3
1.0
2.1513 -8.2870 0.0000
2.1513 8.2870 0.0000
0.0000 0.0000 11.3228
K Dy Ag Te
2 2 2 6
direct
0.2419 0.7581 0.7500 K
0.7581 0.2419 0.2500 K
0.0000 0.0000 0.0000 Dy
0.0000 0.0000 0.5000 Dy
0.4695 0.5305 0.2500 Ag
0.5305 0.4695 0.7500 Ag
0.0802 0.9198 0.2500 Te
0.3708 0.6292 0.0513 Te
0.3708 0.6292 0.4487 Te
0.6292 0.3708 0.5513 Te
0.6292 0.3708 0.9487 Te
0.9198 0.0802 0.7500 Te
```

(7)
Compound: CaGaSb2
Source: Alexandria via LeMat-Bulk
Functional: GGA-PBE
Structure: optimized geometry

Properties
uncorrected formation energy	-0.42	eV per atom

```
CaGaSb2
1.0
6.3279 0.0000 0.0000
0.0000 6.7573 0.0000
-4.6252 0.0000 10.9177
Ca Ga Sb
4 4 8
direct
0.1672 0.2251 0.1304 Ca
0.1672 0.7749 0.6304 Ca
0.8328 0.2251 0.3696 Ca
0.8328 0.7749 0.8696 Ca
0.2976 0.1028 0.8841 Ga
0.2976 0.8972 0.3841 Ga
0.7024 0.1028 0.6159 Ga
0.7024 0.8972 0.1159 Ga
0.1353 0.2808 0.6637 Sb
0.1353 0.7192 0.1637 Sb
0.3743 0.2915 0.4255 Sb
0.3743 0.7085 0.9255 Sb
0.6257 0.2915 0.0745 Sb
0.6257 0.7085 0.5745 Sb
0.8647 0.2808 0.8363 Sb
0.8647 0.7192 0.3363 Sb
```

(8)
Compound: InAs2P
Source: Alexandria via LeMat-Bulk
Functional: GGA-PBE
Structure: optimized geometry

Properties
polymorph energy (0 for the lowest one)	79	meV/atom
energy relative to the elements	0.094	eV/atom

```
InAs2P
1.0
4.8083 0.0000 0.0000
0.0000 3.7899 0.0000
-1.7654 0.0000 4.6846
In As P
1 2 1
direct
0.0000 0.0000 0.0000 In
0.2444 0.5000 0.6957 As
0.7556 0.5000 0.3043 As
0.5000 0.0000 0.5000 P
```

(9)
Compound: Hf2TaGa2
Source: Alexandria via LeMat-Bulk
Functional: GGA-PBE
Structure: optimized geometry

Properties
energy relative to the elements	-0.402	eV/atom

```
Hf2TaGa2
1.0
7.0928 0.0000 0.0000
0.0000 7.0928 0.0000
0.0000 0.0000 3.6651
Hf Ta Ga
4 2 4
direct
0.1776 0.3224 0.0000 Hf
0.3224 0.8224 0.0000 Hf
0.6776 0.1776 0.0000 Hf
0.8224 0.6776 0.0000 Hf
0.0000 0.0000 0.5000 Ta
0.5000 0.5000 0.5000 Ta
0.1254 0.6254 0.5000 Ga
0.3746 0.1254 0.5000 Ga
0.6254 0.8746 0.5000 Ga
0.8746 0.3746 0.5000 Ga
```

(10)
Compound: DyCd2Cu9
Source: Alexandria via LeMat-Bulk
Functional: GGA-PBE
Structure: optimized geometry

Properties
energy relative to the elements	-0.112	eV/atom

```
DyCd2Cu9
1.0
2.5324 1.4621 8.0302
-2.5324 1.4621 8.0302
0.0000 -2.9242 8.0302
Dy Cd Cu
1 2 9
direct
0.0000 0.0000 0.0000 Dy
0.1433 0.1433 0.1433 Cd
0.8567 0.8567 0.8567 Cd
0.0816 0.5848 0.5848 Cu
0.3334 0.3334 0.3334 Cu
0.4152 0.4152 0.9184 Cu
0.4152 0.9184 0.4152 Cu
0.5000 0.5000 0.5000 Cu
0.5848 0.0816 0.5848 Cu
0.5848 0.5848 0.0816 Cu
0.6666 0.6666 0.6666 Cu
0.9184 0.4152 0.4152 Cu
```

| no. | electronic total energy (eV/cell) |
| --- | --- |
| 1 | -26.3 |
| 2 | -38.3 |
| 3 | -40.6 |
| 4 | -26.3 |
| 5 | -17.1 |
| 6 | -46.8 |
| 7 | -59.9 |
| 8 | -17.1 |
| 9 | -79.6 |
| 10 | -44.6 |